Computed, not measured: a geometry-optimized TmZrSc5 structure at the PBE-GGA level of DFT.

```
TmZrSc5
1.0
5.1180 0.0000 0.0000
0.0000 5.1180 0.0000
0.0000 0.0000 7.1308
Sc Tm Zr
5 1 1
Direct
0.0000 0.5000 0.7863 Sc
0.5000 0.0000 0.2137 Sc
0.5000 0.5000 0.5000 Sc
0.5000 0.0000 0.7863 Sc
0.0000 0.5000 0.2137 Sc
0.0000 0.0000 0.5000 Tm
0.5000 0.5000 0.0000 Zr
```

Calculated values
final energy	-6.051	eV/atom
calculated volume	26.7	Å³/atom